[1]
This record from the Alexandria database describes Tb4IrRu2 after structural relaxation. The functional is PBE.

Cell and atoms, written as CIF:
```
data_Tb4IrRu2
_symmetry_space_group_name_H-M 'P 1'
_symmetry_Int_Tables_number 1
_cell_length_a 8.280
_cell_length_b 8.280
_cell_length_c 8.280
_cell_angle_alpha 34.05
_cell_angle_beta 34.05
_cell_angle_gamma 34.05
loop_
_symmetry_equiv_pos_as_xyz
'x,y,z'
loop_
_atom_site_label
_atom_site_type_symbol
_atom_site_fract_x
_atom_site_fract_y
_atom_site_fract_z
_atom_site_occupancy
Tb1 Tb 0.123 0.123 0.123 1
Tb2 Tb 0.374 0.374 0.374 1
Tb3 Tb 0.626 0.626 0.626 1
Tb4 Tb 0.877 0.877 0.877 1
Ir1 Ir 0.500 0.500 0.500 1
Ru1 Ru 0.249 0.249 0.249 1
Ru2 Ru 0.751 0.751 0.751 1
```

Computed properties:
DFT formation energy, eV per atom: -0.408
Relative energy among the computed polymorphs, eV per atom: 0.011
Volume, Å³/cell: 158.6

=====

[2]
This record from the Alexandria database describes Nb2FeAuN after structural relaxation. The functional is PBE.

Cell and atoms, written as CIF:
```
data_Nb2FeAuN
_symmetry_space_group_name_H-M 'P 1'
_symmetry_Int_Tables_number 1
_cell_length_a 4.307
_cell_length_b 4.307
_cell_length_c 3.859
_cell_angle_alpha 90.00
_cell_angle_beta 90.00
_cell_angle_gamma 90.00
loop_
_symmetry_equiv_pos_as_xyz
'x,y,z'
loop_
_atom_site_label
_atom_site_type_symbol
_atom_site_fract_x
_atom_site_fract_y
_atom_site_fract_z
_atom_site_occupancy
Nb1 Nb 0.000 0.500 0.000 1
Nb2 Nb 0.500 0.000 0.000 1
Fe1 Fe 0.000 0.000 0.500 1
Au1 Au 0.500 0.500 0.500 1
N1 N 0.000 0.000 0.000 1
```

Computed properties:
Formation energy from raw total energies, eV/f.u.: -2.0
Volume, Å³/cell: 71.6

=====

[3]
This record from the Alexandria database describes Y2ZnAgH after structural relaxation. The functional is PBE.

Cell and atoms, written as CIF:
```
data_Y2ZnAgH
_symmetry_space_group_name_H-M 'P 1'
_symmetry_Int_Tables_number 1
_cell_length_a 4.928
_cell_length_b 4.928
_cell_length_c 3.955
_cell_angle_alpha 90.00
_cell_angle_beta 90.00
_cell_angle_gamma 90.00
loop_
_symmetry_equiv_pos_as_xyz
'x,y,z'
loop_
_atom_site_label
_atom_site_type_symbol
_atom_site_fract_x
_atom_site_fract_y
_atom_site_fract_z
_atom_site_occupancy
Y1 Y 0.000 0.500 0.000 1
Y2 Y 0.500 0.000 0.000 1
Zn1 Zn 0.000 0.000 0.500 1
Ag1 Ag 0.500 0.500 0.500 1
H1 H 0.500 0.500 0.000 1
```

Computed properties:
Relative energy among the computed polymorphs, eV per atom: 0.003
Volume, Å³/cell: 96.0